#a
A plane-wave DFT calculation with PBE-GGA was carried out for an optimized crystal structure of MgScRu2C.

Summary:
DOS(E_F) (states/eV per atom): 0.73
Total magnetization (μB per cell): 0.00

a b c (Å): 4.0987 4.0987 4.3744
angles (deg): 90.00 90.00 90.00
With the nearest neighbours (Å) after each atom.
Atoms (fractional coordinates):
C: 0.0000 0.0000 0.0000  4 Ru 2.05, 2 Sc 2.19
Mg: 0.5000 0.5000 0.5000  4 Sc 2.90, 8 Ru 3.00
Sc: 0.0000 0.0000 0.5000  2 C 2.19
Ru: 0.5000 0.0000 0.0000  2 C 2.05
Ru: 0.0000 0.5000 0.0000  2 C 2.05

#b
A plane-wave DFT calculation with PBE-GGA was carried out for an optimized crystal structure of MgScRu2C.

Summary:
DOS(E_F) (states/eV per atom): 0.49
Total magnetization (μB per cell): 0.00

a b c (Å): 4.1458 4.1458 4.1680
angles (deg): 90.00 90.00 90.00
With the nearest neighbours (Å) after each atom.
Atoms (fractional coordinates):
C: 0.0000 0.0000 0.0000  4 Ru 2.07, 2 Mg 2.08
Sc: 0.5000 0.5000 0.5000  4 Mg 2.93, 8 Ru 2.94
Mg: 0.0000 0.0000 0.5000  2 C 2.08
Ru: 0.5000 0.0000 0.0000  2 C 2.07
Ru: 0.0000 0.5000 0.0000  2 C 2.07

The computed energies, referenced to the most stable structure and given in eV/atom, are #a 0.000; #b 0.084.

#a
A plane-wave DFT calculation with PBE-GGA was carried out for an optimized crystal structure of MgC2S.

Summary:
DOS(E_F) (states/eV per atom): 0.00
Total magnetization (μB per cell): 0.00

a b c (Å): 4.9718 4.9718 4.9889
angles (deg): 60.11 60.11 90.00
With the nearest neighbours (Å) after each atom.
Atoms (fractional coordinates):
S: 0.0000 0.0000 0.0000  4 C 1.75
S: 0.7500 0.2500 0.5000  4 C 1.75
C: 0.3750 0.2953 0.7500  2 S 1.75
C: 0.8750 0.9547 0.7500  2 S 1.75
C: 0.0453 0.6250 0.2500  2 S 1.75
C: 0.7047 0.1250 0.2500  2 S 1.75
Mg: 0.2500 0.7500 0.5000  4 C 2.24
Mg: 0.5000 0.5000 0.0000  4 C 2.24

#b
A plane-wave DFT calculation with PBE-GGA was carried out for an optimized crystal structure of MgC2S.

Summary:
DOS(E_F) (states/eV per atom): 0.46
Total magnetization (μB per cell): 0.00

a b c (Å): 3.9845 3.9845 3.9845
angles (deg): 60.00 60.00 60.00
With the nearest neighbours (Å) after each atom.
Atoms (fractional coordinates):
S: 0.5000 0.5000 0.5000  8 C 2.44
C: 0.2500 0.2500 0.2500  4 S 2.44, 4 Mg 2.44
C: 0.7500 0.7500 0.7500  4 S 2.44, 4 Mg 2.44
Mg: 0.0000 0.0000 0.0000  8 C 2.44

The computed energies, referenced to the most stable structure and given in eV/atom, are #a 0.000; #b 1.317.

#a
A plane-wave DFT calculation with PBE-GGA was carried out for an optimized crystal structure of Mg2CS.

Summary:
DOS(E_F) (states/eV per atom): 0.74
Total magnetization (μB per cell): 0.00

a b c (Å): 4.3171 4.3171 4.3171
angles (deg): 60.00 60.00 60.00
With the nearest neighbours (Å) after each atom.
Atoms (fractional coordinates):
C: 0.0000 0.0000 0.0000  8 Mg 2.64
Mg: 0.7500 0.7500 0.7500  4 C 2.64, 4 S 2.64
Mg: 0.2500 0.2500 0.2500  4 S 2.64, 4 C 2.64
S: 0.5000 0.5000 0.5000  8 Mg 2.64

#b
A plane-wave DFT calculation with PBE-GGA was carried out for an optimized crystal structure of Mg2CS.

Summary:
DOS(E_F) (states/eV per atom): 0.18
Total magnetization (μB per cell): 3.96

a b c (Å): 6.1080 6.1080 5.7471
angles (deg): 57.90 57.90 90.00
With the nearest neighbours (Å) after each atom.
Atoms (fractional coordinates):
S: 0.0000 0.0000 0.0000  4 Mg 2.50
S: 0.7500 0.2500 0.5000  4 Mg 2.50
Mg: 0.8750 0.8396 0.7500  2 C 2.22
Mg: 0.5896 0.1250 0.2500  2 C 2.22
Mg: 0.3750 0.4104 0.7500  2 C 2.22
Mg: 0.1604 0.6250 0.2500  2 C 2.22
C: 0.5000 0.5000 0.0000  4 Mg 2.22
C: 0.2500 0.7500 0.5000  4 Mg 2.22

The computed energies, referenced to the most stable structure and given in eV/atom, are #a 0.278; #b 0.000.

#a
A plane-wave DFT calculation with PBE-GGA was carried out for an optimized crystal structure of MgC3S.

Summary:
DOS(E_F) (states/eV per atom): 0.49
Total magnetization (μB per cell): 0.00

a b c (Å): 3.6644 3.6644 3.6644
angles (deg): 90.00 90.00 90.00
With the nearest neighbours (Å) after each atom.
Atoms (fractional coordinates):
C: 0.0000 0.5000 0.0000  2 S 1.83
C: 0.5000 0.0000 0.0000  2 S 1.83
C: 0.0000 0.0000 0.5000  2 S 1.83
S: 0.0000 0.0000 0.0000  6 C 1.83
Mg: 0.5000 0.5000 0.5000  12 C 2.59

#b
A plane-wave DFT calculation with PBE-GGA was carried out for an optimized crystal structure of MgC3S.

Summary:
DOS(E_F) (states/eV per atom): 0.84
Total magnetization (μB per cell): 0.00

a b c (Å): 4.1587 4.1587 4.1587
angles (deg): 90.00 90.00 90.00
With the nearest neighbours (Å) after each atom.
Atoms (fractional coordinates):
S: 0.5000 0.5000 0.5000  12 C 2.94
C: 0.0000 0.5000 0.0000  2 Mg 2.08
C: 0.5000 0.0000 0.0000  2 Mg 2.08
C: 0.0000 0.0000 0.5000  2 Mg 2.08
Mg: 0.0000 0.0000 0.0000  6 C 2.08

The computed energies, referenced to the most stable structure and given in eV/atom, are #a 0.000; #b 1.067.

#a
A plane-wave DFT calculation with PBE-GGA was carried out for an optimized crystal structure of MgSb2C.

Summary:
DOS(E_F) (states/eV per atom): 0.00
Total magnetization (μB per cell): 0.00

a b c (Å): 6.3128 6.3128 6.4911
angles (deg): 60.90 60.90 90.00
With the nearest neighbours (Å) after each atom.
Atoms (fractional coordinates):
C: 0.5000 0.5000 0.0000  4 Sb 2.25
C: 0.2500 0.7500 0.5000  4 Sb 2.25
Mg: 0.7500 0.2500 0.5000  4 Sb 2.86
Mg: 0.0000 0.0000 0.0000  4 Sb 2.86
Sb: 0.3750 0.4542 0.7500  2 C 2.25
Sb: 0.2042 0.6250 0.2500  2 C 2.25
Sb: 0.5458 0.1250 0.2500  2 C 2.25
Sb: 0.8750 0.7958 0.7500  2 C 2.25

#b
A plane-wave DFT calculation with PBE-GGA was carried out for an optimized crystal structure of MgSb2C.

Summary:
DOS(E_F) (states/eV per atom): 0.72
Total magnetization (μB per cell): 0.00

a b c (Å): 4.8684 4.8684 4.8684
angles (deg): 60.00 60.00 60.00
With the nearest neighbours (Å) after each atom.
Atoms (fractional coordinates):
C: 0.0000 0.0000 0.0000  8 Sb 2.98
Sb: 0.2500 0.2500 0.2500  4 Mg 2.98, 4 C 2.98
Sb: 0.7500 0.7500 0.7500  4 C 2.98, 4 Mg 2.98
Mg: 0.5000 0.5000 0.5000  8 Sb 2.98

The computed energies, referenced to the most stable structure and given in eV/atom, are #a 0.000; #b 0.702.